[1]
The following is a DFT calculation (PBE) of a geometry-optimized KAcI2 structure.

Lattice parameters (Å, degrees): 4.173 4.173 8.572 90.00 90.00 90.00
Element x y z (fractional)
I  0.000  0.000  0.773
I  0.000  0.000  0.227
Ac  0.500  0.500  0.000
K  0.500  0.500  0.500

Summary:
Uncorrected formation energy = -1.03 eV/atom
Energy above the most stable polymorph in this dataset = 88 meV per atom
Magnetization = 0.00 μB per formula unit
Density of states at the Fermi level = 0.517 states/eV per atom

[2]
The following is a DFT calculation (PBE) of a geometry-optimized KCrIn3 structure.

Lattice parameters (Å, degrees): 5.950 5.950 5.950 90.00 90.00 90.00
Each line ends with the local moment (μB).
Element x y z (fractional)
Cr  0.500  0.500  0.500  -4.28
K  0.000  0.000  0.000  0.03
In  0.000  0.500  0.000  0.07
In  0.000  0.000  0.500  0.06
In  0.500  0.000  0.000  0.06

Summary:
Energy above the most stable polymorph in this dataset = 1094 meV per atom
Calculated formation energy = 1.307 eV per atom
Magnetization = 4.29 μB per formula unit
Density of states at the Fermi level = 1.088 states/eV per atom

[3]
The following is a DFT calculation (PBE) of a geometry-optimized Mn2TcP structure.

Lattice parameters (Å, degrees): 6.568 6.568 5.277 51.51 51.51 90.00
Each line ends with the local moment (μB).
Element x y z (fractional)
P  0.500  0.500  0.000  -0.07
P  0.250  0.750  0.500  -0.07
Mn  0.594  0.125  0.250  2.36
Mn  0.156  0.625  0.250  2.34
Mn  0.375  0.406  0.750  2.35
Mn  0.875  0.844  0.750  2.33
Tc  0.000  0.000  0.000  -0.60
Tc  0.750  0.250  0.500  -0.62

Summary:
Energy above the most stable polymorph in this dataset = 443 meV per atom
Calculated formation energy = 0.188 eV per atom
Magnetization = 4.17 μB per formula unit
Density of states at the Fermi level = 0.837 states/eV per atom

> What is the magnetization in the first record?

0.00 μB per formula unit